The following is a DFT calculation (PBE) of an optimized crystal structure of BeB2N.

ΔE to the lowest computed polymorph   174.0 kJ per mole of atoms
Calculated volume   7.31 Å³ per atom
Formation energy without anion corrections   2.149 eV/atom
Crystal system   cubic

abc: 3.459 3.459 3.459
angles: 60.00 60.00 60.00
Sites, in units of the cell vectors:
Be  0.000  0.000  0.000
B  0.250  0.250  0.250
B  0.750  0.750  0.750
N  0.500  0.500  0.500